# 1
# GGA-PBE Cs2UPaN4, relaxed
# formation energy from raw total energies = -990 meV per atom
# magnetic moment = 0.90 μB/cell
data_Cs2UPaN4
_space_group_name_H-M_alt 'P 1 2/m 1'
_space_group_IT_number 10
_cell_length_a 6.2506
_cell_length_b 3.6119
_cell_length_c 7.4198
_cell_angle_alpha 90.00
_cell_angle_beta 106.44
_cell_angle_gamma 90.00
loop_
_space_group_symop_operation_xyz
'x,y,z'
'-x,-y,-z'
'-x,y,-z'
'x,-y,z'
loop_
_atom_site_label
_atom_site_fract_x
_atom_site_fract_y
_atom_site_fract_z
Cs1 0.0000 0.0000 0.0000
Cs2 0.5000 0.5000 0.0000
U1 0.0000 0.5000 0.5000
Pa1 0.5000 0.0000 0.5000
N1 0.2083 0.0000 0.6393
N2 0.2808 0.5000 0.3616

# 2
# GGA-PBE CsPaVN4, relaxed
# formation energy from raw total energies = -779 meV per atom
# magnetic moment = 1.50 μB/cell
data_CsPaVN4
_space_group_name_H-M_alt 'P 1 21/m 1'
_space_group_IT_number 11
_cell_length_a 5.9582
_cell_length_b 5.8189
_cell_length_c 8.5263
_cell_angle_alpha 90.00
_cell_angle_beta 110.12
_cell_angle_gamma 90.00
loop_
_space_group_symop_operation_xyz
'x,y,z'
'-x,-y,-z'
'-x,y+1/2,-z'
'x,-y+1/2,z'
loop_
_atom_site_label
_atom_site_fract_x
_atom_site_fract_y
_atom_site_fract_z
Cs1 0.1919 0.2500 0.4288
Pa1 0.2876 0.2500 0.9562
V1 0.2585 0.7500 0.1491
N1 0.0373 0.7500 0.9495
N2 0.0476 0.7500 0.2616
N3 0.4637 0.5151 0.1524

# 3
# GGA-PBE Cs2PaW2N6, relaxed
# formation energy from raw total energies = -524 meV per atom
# magnetic moment = 0.00 μB/cell
data_Cs2PaW2N6
_space_group_name_H-M_alt 'R -3 m'
_space_group_IT_number 166
_space_group_name_Hall '-R 3 2"'
_cell_length_a 6.3897
_cell_length_b 6.3897
_cell_length_c 19.1769
_cell_angle_alpha 90.00
_cell_angle_beta 90.00
_cell_angle_gamma 120.00
loop_
_atom_site_label
_atom_site_fract_x
_atom_site_fract_y
_atom_site_fract_z
Cs1 0.0000 0.0000 0.2192
Pa1 0.0000 0.0000 0.0000
W1 0.0000 0.0000 0.4252
N1 0.0105 0.5052 0.2661

# 4
# GGA-PBE CsPaZnN3, relaxed
# formation energy from raw total energies = -553 meV per atom
# magnetic moment = 0.00 μB/cell
data_CsPaZnN3
_space_group_name_H-M_alt 'P 1 21/m 1'
_space_group_IT_number 11
_cell_length_a 8.4758
_cell_length_b 3.6451
_cell_length_c 8.6289
_cell_angle_alpha 90.00
_cell_angle_beta 110.55
_cell_angle_gamma 90.00
loop_
_space_group_symop_operation_xyz
'x,y,z'
'-x,-y,-z'
'-x,y+1/2,-z'
'x,-y+1/2,z'
loop_
_atom_site_label
_atom_site_fract_x
_atom_site_fract_y
_atom_site_fract_z
Cs1 0.2214 0.2500 0.2464
Pa1 0.3291 0.7500 0.8547
Zn1 0.0659 0.2500 0.6182
N1 0.1555 0.7500 0.5704
N2 0.1695 0.2500 0.8637
N3 0.4950 0.7500 0.1240

# 5
# GGA-PBE CsPb4N2, relaxed
# formation energy from raw total energies = 491 meV per atom
# magnetic moment = 0.00 μB/cell
data_CsPb4N2
_space_group_name_H-M_alt 'C m m m'
_space_group_IT_number 65
_space_group_name_Hall '-C 2 2'
_cell_length_a 3.4628
_cell_length_b 31.4042
_cell_length_c 3.4599
_cell_angle_alpha 90.00
_cell_angle_beta 90.00
_cell_angle_gamma 90.00
loop_
_atom_site_label
_atom_site_fract_x
_atom_site_fract_y
_atom_site_fract_z
Cs1 0.0000 0.0000 0.0000
Pb1 0.0000 0.1926 0.0000
Pb2 0.0000 0.4032 0.5000
N1 0.0000 0.3330 0.5000

# 6
# GGA-PBE CsPbSeN2, relaxed
# formation energy from raw total energies = 1086 meV per atom
# energy relative to the lowest polymorph listed for this composition = 0.0000 eV/atom
# magnetic moment = 3.72 μB/cell
data_CsPbSeN2
_space_group_name_H-M_alt 'P 4/m m m'
_space_group_IT_number 123
_space_group_name_Hall '-P 4 2'
_cell_length_a 4.9920
_cell_length_b 4.9920
_cell_length_c 5.6304
_cell_angle_alpha 90.00
_cell_angle_beta 90.00
_cell_angle_gamma 90.00
loop_
_atom_site_label
_atom_site_fract_x
_atom_site_fract_y
_atom_site_fract_z
Cs1 0.0000 0.0000 0.0000
Pb1 0.5000 0.5000 0.5000
Se1 0.5000 0.5000 0.0000
N1 0.0000 0.5000 0.5000

# 7
# GGA-PBE CsPbSe2N, relaxed
# formation energy from raw total energies = 396 meV per atom
# energy relative to the lowest polymorph listed for this composition = 0.0000 eV/atom
# magnetic moment = 2.08 μB/cell
data_CsPbSe2N
_space_group_name_H-M_alt 'P 4/m m m'
_space_group_IT_number 123
_space_group_name_Hall '-P 4 2'
_cell_length_a 5.6683
_cell_length_b 5.6683
_cell_length_c 4.8968
_cell_angle_alpha 90.00
_cell_angle_beta 90.00
_cell_angle_gamma 90.00
loop_
_atom_site_label
_atom_site_fract_x
_atom_site_fract_y
_atom_site_fract_z
Cs1 0.0000 0.0000 0.0000
Pb1 0.5000 0.5000 0.5000
Se1 0.0000 0.5000 0.5000
N1 0.5000 0.5000 0.0000

# 8
# GGA-PBE CsPbSeN2, relaxed
# formation energy from raw total energies = 1894 meV per atom
# energy relative to the lowest polymorph listed for this composition = 0.8074 eV/atom
# magnetic moment = 2.11 μB/cell
data_CsPbSeN2
_space_group_name_H-M_alt 'P 4/m m m'
_space_group_IT_number 123
_space_group_name_Hall '-P 4 2'
_cell_length_a 4.5003
_cell_length_b 4.5003
_cell_length_c 7.0514
_cell_angle_alpha 90.00
_cell_angle_beta 90.00
_cell_angle_gamma 90.00
loop_
_atom_site_label
_atom_site_fract_x
_atom_site_fract_y
_atom_site_fract_z
Cs1 0.0000 0.0000 0.0000
Pb1 0.5000 0.5000 0.5000
Se1 0.0000 0.0000 0.5000
N1 0.0000 0.5000 0.0000

# 9
# GGA-PBE CsPbSe2N, relaxed
# formation energy from raw total energies = 1324 meV per atom
# energy relative to the lowest polymorph listed for this composition = 0.9284 eV/atom
# magnetic moment = 1.81 μB/cell
data_CsPbSe2N
_space_group_name_H-M_alt 'P 4/m m m'
_space_group_IT_number 123
_space_group_name_Hall '-P 4 2'
_cell_length_a 5.9877
_cell_length_b 5.9877
_cell_length_c 4.4930
_cell_angle_alpha 90.00
_cell_angle_beta 90.00
_cell_angle_gamma 90.00
loop_
_atom_site_label
_atom_site_fract_x
_atom_site_fract_y
_atom_site_fract_z
Cs1 0.0000 0.0000 0.0000
Pb1 0.5000 0.5000 0.5000
Se1 0.0000 0.5000 0.0000
N1 0.0000 0.0000 0.5000

# 10
# GGA-PBE CsTe2PbN, relaxed
# formation energy from raw total energies = 1350 meV per atom
# energy relative to the lowest polymorph listed for this composition = 0.8550 eV/atom
# magnetic moment = 2.35 μB/cell
data_CsTe2PbN
_space_group_name_H-M_alt 'P 4/m m m'
_space_group_IT_number 123
_space_group_name_Hall '-P 4 2'
_cell_length_a 6.4560
_cell_length_b 6.4560
_cell_length_c 4.7395
_cell_angle_alpha 90.00
_cell_angle_beta 90.00
_cell_angle_gamma 90.00
loop_
_atom_site_label
_atom_site_fract_x
_atom_site_fract_y
_atom_site_fract_z
Cs1 0.0000 0.0000 0.0000
Te1 0.0000 0.5000 0.0000
Pb1 0.5000 0.5000 0.5000
N1 0.0000 0.0000 0.5000

# 11
# GGA-PBE CsTe2PbN, relaxed
# formation energy from raw total energies = 495 meV per atom
# energy relative to the lowest polymorph listed for this composition = 0.0000 eV/atom
# magnetic moment = 2.37 μB/cell
data_CsTe2PbN
_space_group_name_H-M_alt 'P 4/m m m'
_space_group_IT_number 123
_space_group_name_Hall '-P 4 2'
_cell_length_a 6.1828
_cell_length_b 6.1828
_cell_length_c 4.7714
_cell_angle_alpha 90.00
_cell_angle_beta 90.00
_cell_angle_gamma 90.00
loop_
_atom_site_label
_atom_site_fract_x
_atom_site_fract_y
_atom_site_fract_z
Cs1 0.0000 0.0000 0.0000
Te1 0.0000 0.5000 0.5000
Pb1 0.5000 0.5000 0.5000
N1 0.5000 0.5000 0.0000

# 12
# GGA-PBE Cs3PdN, relaxed
# formation energy from raw total energies = 860 meV per atom
# magnetic moment = 1.92 μB/cell
data_Cs3PdN
_space_group_name_H-M_alt 'P m -3 m'
_space_group_IT_number 221
_space_group_name_Hall '-P 4 2 3'
_cell_length_a 6.5986
_cell_length_b 6.5986
_cell_length_c 6.5986
_cell_angle_alpha 90.00
_cell_angle_beta 90.00
_cell_angle_gamma 90.00
loop_
_atom_site_label
_atom_site_fract_x
_atom_site_fract_y
_atom_site_fract_z
Cs1 0.0000 0.0000 0.5000
Pd1 0.0000 0.0000 0.0000
N1 0.5000 0.5000 0.5000